The following is a DFT calculation (PBE) of an optimized crystal structure of Sr2LiTc2N4.

Cell lengths 13.393, 3.248, 6.183 Å; angles 90.00, 110.55, 90.00 degrees
Space group C2/m (No. 12)
Symmetry-distinct sites (fractional):
Sr (0.122, 0.000, 0.497) x4
Li (0.000, 0.000, 0.000) x2
Tc (0.175, 0.500, 0.988) x4
N (0.036, 0.500, 0.778) x4
N (0.233, 0.000, 0.221) x4

## Properties
- crystal system = monoclinic
- volume (A^3/atom) = 14.0
- ΔE_f (raw) (kJ/mol of atoms) = -39.69
- N(E_F) (states/eV/f.u.) = 2.1